(1)
The following is a GGA-PBE calculation of a relaxed CsGePb2I8 crystal, from Alexandria via LeMat-Bulk.

Calculated values
energy relative to the elements, uncorrected: -663 kJ/mol of formula units
SG: P-1 (2)
volume: 48.13 Å³ per atom
total energy: -2.68 eV/atom

a b c (Å): 7.864 6.726 10.920
angles (deg): 89.90 89.98 89.86
Atoms (fractional coordinates):
Cs  0.000  0.000  0.500
Ge  0.000  0.000  0.000
Pb  0.500  0.500  0.790
Pb  0.500  0.500  0.210
I  0.158  0.761  0.202
I  0.664  0.759  0.000
I  0.841  0.237  0.202
I  0.842  0.239  0.798
I  0.336  0.241  0.000
I  0.159  0.763  0.798
I  0.517  0.751  0.500
I  0.483  0.249  0.500

---

(2)
The following is a GGA-PBE calculation of a relaxed Cs3Ge2PbI9 crystal, from Alexandria via LeMat-Bulk.

Calculated values
energy relative to the elements, uncorrected: -1270 kJ/mol of formula units
SG: P-3m1 (164)
volume: 45.86 Å³ per atom
total energy: -2.84 eV/atom

a b c (Å): 8.646 8.646 10.625
angles (deg): 90.00 90.00 120.00
Atoms (fractional coordinates):
Cs  0.333  0.667  0.675
Cs  0.000  0.000  0.000
Cs  0.667  0.333  0.325
Ge  0.333  0.667  0.158
Ge  0.667  0.333  0.842
Pb  0.000  0.000  0.500
I  0.828  0.172  0.676
I  0.828  0.655  0.676
I  0.345  0.172  0.676
I  0.655  0.828  0.324
I  0.172  0.345  0.324
I  0.172  0.828  0.324
I  0.500  0.000  0.000
I  0.000  0.500  0.000
I  0.500  0.500  0.000

---

(3)
The following is a GGA-PBE calculation of a relaxed Cs2GePdI6 crystal, from Alexandria via LeMat-Bulk.

Calculated values
energy relative to the elements, uncorrected: -718 kJ/mol of formula units
SG: I4/mmm (139)
volume: 39.45 Å³ per atom
total energy: -2.83 eV/atom

a b c (Å): 8.228 8.228 8.234
angles (deg): 60.02 60.02 90.00
Atoms (fractional coordinates):
Cs  0.750  0.250  0.500
Cs  0.250  0.750  0.500
I  0.245  0.245  0.511
I  0.755  0.755  0.489
I  0.245  0.245  0.000
I  0.755  0.755  0.000
I  0.755  0.245  0.000
I  0.245  0.755  0.000
Ge  0.500  0.500  0.000
Pd  0.000  0.000  0.000

---

(4)
The following is a GGA-PBE calculation of a relaxed CsPmGeI6 crystal, from Alexandria via LeMat-Bulk.

Calculated values
energy relative to the elements, uncorrected: -947 kJ/mol of formula units
SG: P312 (149)
volume: 52.80 Å³ per atom
total energy: -3.26 eV/atom

a b c (Å): 7.978 7.978 8.622
angles (deg): 90.01 89.99 60.00
Atoms (fractional coordinates):
Cs  0.000  0.000  0.000
Pm  0.333  0.333  0.500
Ge  0.667  0.667  0.500
I  0.992  0.379  0.294
I  0.379  0.992  0.706
I  0.628  0.379  0.706
I  0.992  0.628  0.706
I  0.379  0.628  0.294
I  0.628  0.992  0.294